A plane-wave DFT calculation with PBEsol was carried out for ScHNF2 after structural relaxation.

```
ScHNF2
1.0
3.2099 0.0000 0.0000
0.0000 3.2099 0.0000
0.0000 0.0000 3.9868
Sc H N F
1 1 1 2
Direct
0.5000 0.5000 0.5000
0.0000 0.0000 0.0000
0.0000 0.0000 0.5000
0.0000 0.5000 0.0000
0.5000 0.0000 0.0000
```

Values from the calculation:
**ρ**: 3.96 g cm⁻³
**Symmetry**: P4/mmm, No. 123
**VASP energy**: -5.65 eV/atom
**Spin magnetization**: 1.00 μB/cell